Density functional theory data (PBE-GGA) for an optimized crystal structure of Cs2MoBr6Cl.

Space group: I4/mmm (139)
Energy relative to the elements, uncorrected in eV per atom: -0.93

Geometry as CIF:
```
data_Cs2MoBr6Cl
_chemical_formula_sum 'Cs2 Mo1 Br6 Cl1'
_space_group_name_H-M_alt 'P 1'
_space_group_IT_number 1
_cell_length_a 8.223
_cell_length_b 8.223
_cell_length_c 8.243
_cell_angle_alpha 60.08
_cell_angle_beta 60.08
_cell_angle_gamma 90.00
loop_
_space_group_symop_operation_xyz
'x,y,z'
loop_
_atom_site_label
_atom_site_type_symbol
_atom_site_fract_x
_atom_site_fract_y
_atom_site_fract_z
_atom_site_occupancy
Br1 Br 0.783 0.783 0.435 1
Br2 Br 0.782 0.218 0.000 1
Br3 Br 0.218 0.782 0.000 1
Br4 Br 0.217 0.217 0.565 1
Br5 Br 0.782 0.782 0.000 1
Br6 Br 0.218 0.218 0.000 1
Cs1 Cs 0.250 0.750 0.500 1
Cs2 Cs 0.750 0.250 0.500 1
Mo1 Mo 0.000 0.000 0.000 1
Cl1 Cl 0.500 0.500 0.000 1
```

Density functional theory data (PBE-GGA) for an optimized crystal structure of CaGa12Cu4.

Calculated formation energy in meV per atom: -19
Space group: Im-3 (204)

Geometry as CIF:
```
data_CaGa12Cu4
_chemical_formula_sum 'Ca1 Ga12 Cu4'
_space_group_name_H-M_alt 'P 1'
_space_group_IT_number 1
_cell_length_a 7.504
_cell_length_b 7.504
_cell_length_c 7.504
_cell_angle_alpha 109.47
_cell_angle_beta 109.47
_cell_angle_gamma 109.47
loop_
_space_group_symop_operation_xyz
'x,y,z'
loop_
_atom_site_label
_atom_site_type_symbol
_atom_site_fract_x
_atom_site_fract_y
_atom_site_fract_z
_atom_site_occupancy
Ga1 Ga 0.654 0.811 0.157 1
Ga2 Ga 0.189 0.843 0.346 1
Ga3 Ga 0.496 0.843 0.654 1
Ga4 Ga 0.346 0.504 0.157 1
Ga5 Ga 0.504 0.157 0.346 1
Ga6 Ga 0.811 0.157 0.654 1
Ga7 Ga 0.843 0.346 0.189 1
Ga8 Ga 0.346 0.189 0.843 1
Ga9 Ga 0.157 0.346 0.504 1
Ga10 Ga 0.843 0.654 0.496 1
Ga11 Ga 0.654 0.496 0.843 1
Ga12 Ga 0.157 0.654 0.811 1
Cu1 Cu 0.000 0.500 0.000 1
Cu2 Cu 0.500 0.000 0.000 1
Cu3 Cu 0.000 0.000 0.500 1
Cu4 Cu 0.500 0.500 0.500 1
Ca1 Ca 0.000 0.000 0.000 1
```

Density functional theory data (PBE-GGA) for an optimized crystal structure of K3La3UO8.

Space group: R-3m (166)
Energy relative to the elements, uncorrected in eV per atom: -2.77

Geometry as CIF:
```
data_K3La3UO8
_chemical_formula_sum 'K3 La3 U1 O8'
_space_group_name_H-M_alt 'P 1'
_space_group_IT_number 1
_cell_length_a 7.362
_cell_length_b 7.362
_cell_length_c 7.644
_cell_angle_alpha 118.79
_cell_angle_beta 89.99
_cell_angle_gamma 119.99
loop_
_space_group_symop_operation_xyz
'x,y,z'
loop_
_atom_site_label
_atom_site_type_symbol
_atom_site_fract_x
_atom_site_fract_y
_atom_site_fract_z
_atom_site_occupancy
O1 O 0.754 0.965 0.676 1
O2 O 0.789 0.035 0.324 1
O3 O 0.211 0.422 0.676 1
O4 O 0.729 0.459 0.688 1
O5 O 0.271 0.541 0.312 1
O6 O 0.211 0.965 0.676 1
O7 O 0.246 0.035 0.324 1
O8 O 0.789 0.578 0.324 1
La1 La 0.000 0.500 0.500 1
La2 La 0.500 0.500 0.500 1
La3 La 0.500 0.000 0.500 1
K1 K 0.000 0.500 0.000 1
K2 K 0.000 0.000 0.000 1
K3 K 0.500 0.500 0.000 1
U1 U 0.000 0.000 0.500 1
```

Density functional theory data (PBE-GGA) for an optimized crystal structure of Ba4PtSe2Br.

Space group: P2/m (10)
Energy relative to the elements, uncorrected in eV per atom: -1.60

Geometry as CIF:
```
data_Ba4PtSe2Br
_chemical_formula_sum 'Ba4 Pt1 Se2 Br1'
_space_group_name_H-M_alt 'P 1'
_space_group_IT_number 1
_cell_length_a 4.670
_cell_length_b 8.117
_cell_length_c 8.204
_cell_angle_alpha 72.01
_cell_angle_beta 90.00
_cell_angle_gamma 90.00
loop_
_space_group_symop_operation_xyz
'x,y,z'
loop_
_atom_site_label
_atom_site_type_symbol
_atom_site_fract_x
_atom_site_fract_y
_atom_site_fract_z
_atom_site_occupancy
Pt1 Pt 0.000 0.500 0.500 1
Ba1 Ba 0.000 0.246 0.272 1
Ba2 Ba 0.500 0.750 0.260 1
Ba3 Ba 0.000 0.754 0.728 1
Ba4 Ba 0.500 0.250 0.740 1
Se1 Se 0.000 0.000 0.000 1
Se2 Se 0.500 0.000 0.500 1
Br1 Br 0.500 0.500 0.000 1
```

Density functional theory data (PBE-GGA) for an optimized crystal structure of KY2In.

Calculated formation energy in meV per atom: 164
Space group: P4/mmm (123)

Geometry as CIF:
```
data_KY2In
_chemical_formula_sum 'K1 Y2 In1'
_space_group_name_H-M_alt 'P 1'
_space_group_IT_number 1
_cell_length_a 5.147
_cell_length_b 5.147
_cell_length_c 4.730
_cell_angle_alpha 90.00
_cell_angle_beta 90.00
_cell_angle_gamma 90.00
loop_
_space_group_symop_operation_xyz
'x,y,z'
loop_
_atom_site_label
_atom_site_type_symbol
_atom_site_fract_x
_atom_site_fract_y
_atom_site_fract_z
_atom_site_occupancy
Y1 Y 0.500 0.500 0.000 1
Y2 Y 0.000 0.000 0.000 1
In1 In 0.500 0.000 0.500 1
K1 K 0.000 0.500 0.500 1
```

In order of appearance, total DFT energy (no corrections) = -33.76; -55.03; -110.57; -35.21; -16.11 eV for the cell shown.